w | The following is a DFT calculation (PBE) of a relaxed PrErFe crystal.

Geometry as POSCAR:
```
PrErFe
1.0
-2.862 1.270 -1.422
0.619 -1.807 -2.860
-2.257 -4.670 4.530
Pr Er Fe
1 1 1
Cartesian
-2.010 -2.938 1.421
-0.281 -0.411 0.199
-2.209 -1.858 -1.372
```

Computed properties:
size of the total moment = 1.05 μB per cell

***

x | The following is a DFT calculation (PBE) of a relaxed PrErFe crystal.

Geometry as POSCAR:
```
PrErFe
1.0
6.962 0.000 0.000
-3.481 6.111 0.000
0.000 0.000 7.349
Fe Er Pr
4 4 4
Cartesian
3.481 1.088 3.975
0.000 5.023 3.374
3.481 5.023 0.300
0.000 1.088 7.048
1.741 0.493 1.837
5.222 0.493 1.837
-1.741 5.618 5.512
1.741 5.618 5.512
3.481 2.416 6.523
3.481 3.694 2.849
0.000 3.694 0.826
0.000 2.416 4.500
```

Computed properties:
size of the total moment = 3.38 μB per cell

***

Stability ranking, top entry: x; the second entry is 67 meV/atom less favorable.

***

w | The following is a DFT calculation (PBE) of a relaxed ErPu2Fe crystal.

Geometry as POSCAR:
```
ErPu2Fe
1.0
3.291 0.000 0.000
0.000 3.291 0.000
0.000 0.000 8.657
Fe Pu Er
1 2 1
Cartesian
1.646 1.646 0.000
0.000 0.000 1.673
0.000 0.000 6.984
1.646 1.646 4.328
```

Computed properties:
size of the total moment = 9.52 μB per cell

***

x | The following is a DFT calculation (PBE) of a relaxed ErPu2Fe crystal.

Geometry as POSCAR:
```
ErPu2Fe
1.0
-2.539 2.528 0.277
-3.329 -0.659 -1.182
-4.188 -2.498 7.725
Pu Fe Er
2 1 1
Cartesian
-7.700 -0.693 5.684
-2.356 0.064 1.136
0.000 0.000 0.000
-5.028 -0.315 3.410
```

Computed properties:
size of the total moment = 10.23 μB per cell

***

Stability ranking, top entry: w; the second entry is 92 meV/atom less favorable.

***

w | The following is a DFT calculation (PBE) of a relaxed Er2PuFe crystal.

Geometry as POSCAR:
```
Er2PuFe
1.0
6.081 0.000 0.000
0.000 6.832 0.000
0.000 0.000 9.315
Fe Pu Er
4 4 8
Cartesian
3.007 0.942 6.987
3.075 5.890 2.329
6.048 2.474 2.329
0.034 4.358 6.987
1.011 6.456 6.987
4.051 3.793 2.329
2.030 3.040 6.987
5.071 0.376 2.329
1.959 1.160 0.622
1.082 4.576 0.622
5.000 2.256 5.280
5.000 2.256 8.693
1.082 4.576 4.035
1.959 1.160 4.035
4.122 5.672 8.693
4.122 5.672 5.280
```

Computed properties:
size of the total moment = 20.22 μB per cell

***

x | The following is a DFT calculation (PBE) of a relaxed Er2PuFe crystal.

Geometry as POSCAR:
```
Er2PuFe
1.0
3.305 0.000 0.000
0.000 3.305 0.000
0.000 0.000 8.691
Er Pu Fe
2 1 1
Cartesian
0.000 0.000 7.087
0.000 0.000 1.604
1.653 1.653 4.346
1.653 1.653 0.000
```

Computed properties:
size of the total moment = 6.98 μB per cell

***

Stability ranking, top entry: w; the second entry is 188 meV/atom less favorable.

***

w | The following is a DFT calculation (PBE) of a relaxed Er2ScFe crystal.

Geometry as POSCAR:
```
Er2ScFe
1.0
-0.485 3.337 5.043
-2.544 -5.433 3.350
8.202 -2.382 2.364
Er Fe Sc
8 4 4
Cartesian
3.404 -0.343 6.586
2.207 -3.571 7.489
1.769 -4.135 4.171
2.967 -0.908 3.269
6.452 -1.228 7.465
-0.081 -0.023 2.390
-1.278 -3.250 3.293
5.254 -4.456 8.367
1.067 -2.630 1.952
4.106 -1.849 8.806
5.606 -0.701 4.760
-0.432 -3.778 5.997
0.343 -1.447 5.655
4.830 -3.032 5.103
3.666 -6.487 5.660
1.508 2.009 5.097
```

Computed properties:
size of the total moment = 0.00 μB per cell

***

x | The following is a DFT calculation (PBE) of a relaxed Er2ScFe crystal.

Geometry as POSCAR:
```
Er2ScFe
1.0
-0.253 -2.882 1.771
2.746 -1.213 -1.581
4.738 3.154 5.811
Er Fe Sc
2 1 1
Cartesian
3.807 2.534 4.669
0.931 0.620 1.142
1.246 -2.048 0.095
3.615 -0.470 3.001
```

Computed properties:
size of the total moment = 2.10 μB per cell

***

y | The following is a DFT calculation (PBE) of a relaxed Er2ScFe crystal.

Geometry as POSCAR:
```
Er2ScFe
1.0
-2.450 0.804 2.249
-2.754 -2.004 0.319
2.719 -5.461 7.518
Er Fe Sc
2 1 1
Cartesian
-0.839 -1.418 2.196
-1.646 -5.243 7.890
0.000 0.000 0.000
-1.243 -3.331 5.043
```

Computed properties:
size of the total moment = 2.05 μB per cell

***

Stability ranking, top entry: w; the second entry is 129 meV/atom less favorable.

***

w | The following is a DFT calculation (PBE) of a relaxed Er2Fe3Si5 crystal.

Geometry as POSCAR:
```
Er2Fe3Si5
1.0
5.091 0.000 1.697
1.971 7.255 2.572
0.181 -0.123 7.942
Er Si Fe
4 10 6
Cartesian
3.619 0.872 6.113
5.345 2.861 9.420
3.624 6.260 6.098
1.898 4.271 2.791
4.479 5.331 3.532
4.894 3.566 6.529
0.759 0.489 6.209
6.484 6.643 6.002
0.657 1.494 2.271
4.040 5.638 9.091
2.349 3.566 5.681
3.202 1.494 3.119
2.764 1.800 8.679
6.585 5.638 9.939
3.818 0.000 1.272
1.273 0.000 0.424
4.210 3.191 4.338
1.343 1.863 4.456
3.032 3.940 7.873
5.900 5.269 7.754
```

Computed properties:
size of the total moment = 0.00 μB per cell

***

x | The following is a DFT calculation (PBE) of a relaxed Er2Fe3Si5 crystal.

Geometry as POSCAR:
```
Er2Fe3Si5
1.0
-0.612 -7.978 6.524
10.046 -1.920 -1.405
1.211 3.301 4.150
Fe Si Er
12 20 8
Cartesian
1.981 0.389 2.676
5.931 1.515 2.410
1.320 -5.412 7.483
6.243 -4.243 1.552
5.866 -6.338 3.328
8.663 -6.987 6.592
9.325 -1.186 1.785
-0.003 -3.164 4.299
5.326 -0.135 0.335
0.602 -1.513 6.374
3.190 -5.655 3.566
3.567 -3.560 1.790
8.366 -3.325 1.984
3.431 -1.212 1.744
7.213 -5.386 7.524
10.007 -5.654 5.140
1.673 -4.923 5.209
6.607 -7.036 5.449
3.218 -6.760 8.001
0.321 0.875 1.100
7.914 -5.744 2.258
5.643 -2.424 5.734
0.890 2.426 3.050
1.520 -4.154 2.860
7.426 0.163 1.267
2.279 -3.272 7.284
4.037 0.439 3.819
5.001 -4.173 3.534
4.293 -7.455 4.676
8.971 -1.675 4.059
0.638 -0.943 4.128
5.140 -2.443 0.442
6.162 -1.545 2.994
0.551 -2.019 1.445
2.990 -2.292 4.515
4.482 -5.052 6.274
7.655 -4.305 4.753
1.805 -7.879 5.740
8.883 -7.879 3.673
7.628 -2.018 -0.621
```

Computed properties:
size of the total moment = 0.00 μB per cell

***

Stability ranking, top entry: x; the second entry is 16 meV/atom less favorable.

***

w | The following is a DFT calculation (PBE) of a relaxed SmErFe crystal.

Geometry as POSCAR:
```
SmErFe
1.0
-6.475 -0.956 2.119
1.572 -0.751 -6.701
1.416 -7.091 1.127
Sm Fe Er
4 4 4
Cartesian
-0.846 -1.545 -3.282
0.210 -4.834 -1.541
-2.640 -7.254 -0.172
-3.695 -3.965 -1.913
-4.540 -1.782 -3.509
1.054 -7.017 0.055
-0.714 -4.254 -4.099
-2.772 -4.544 0.646
-4.641 -2.593 1.398
-2.082 -6.684 -3.792
-1.404 -2.115 0.338
1.156 -6.205 -4.852
```

Computed properties:
size of the total moment = 3.14 μB per cell

***

x | The following is a DFT calculation (PBE) of a relaxed SmErFe crystal.

Geometry as POSCAR:
```
SmErFe
1.0
3.346 0.000 0.000
0.000 3.346 0.000
-1.673 -1.673 6.456
Sm Fe Er
1 1 1
Cartesian
0.000 0.000 3.790
1.673 1.673 2.112
0.000 0.000 0.554
```

Computed properties:
size of the total moment = 0.13 μB per cell

***

Stability ranking, top entry: w; the second entry is 33 meV/atom less favorable.